Entry from Alexandria via LeMat-Bulk: a relaxed Y2TmScBi4 crystal (PBE).

## Properties
For the formation energy, the calculation gives -0.802 eV/atom. Its theoretical density is 8.35 Mg/m³. As for the total magnetization: 0.0 μB/cell. The space group is P2/m (10).

abc: 4.421 7.653 7.652
angles: 109.47 90.00 90.00
Fractional positions:
Y  0.500  0.000  0.500
Y  0.000  0.500  0.500
Tm  0.000  0.000  0.000
Bi  0.500  0.748  0.758
Bi  0.500  0.252  0.242
Bi  0.000  0.259  0.761
Bi  0.000  0.741  0.239
Sc  0.500  0.500  0.000